Here is an optimized crystal structure of MnNbV2O6 from the Alexandria database. Energies are from PBE with a Hubbard U.

The structure in POSCAR format:
```
MnNbV2O6
1.0
5.2744 0.0000 0.0000
-2.5818 4.6136 0.0000
-2.5447 -1.5197 4.8137
Mn Nb V O
1 1 2 6
Cartesian
0.0000 0.0000 0.0000 Mn
2.7208 1.5484 2.2600 Nb
0.0789 0.0349 4.1490 V
0.0596 3.1193 1.7536 V
-1.8234 -0.0360 3.1154 O
-1.0666 1.6278 0.8045 O
-1.5423 3.0144 3.0862 O
1.9434 0.1220 0.8351 O
1.8039 2.8782 0.8236 O
0.9352 1.7209 3.0875 O
```

**Space-group type**: No. 1
**Total magnetic moment**: 1.00 μB per atom
**Raw total energy**: -83.21 eV for the cell shown